[1]
ScBeB2S | GGA-PBE | relaxed

Unit cell a=3.527 b=5.341 c=3.527 alpha=90.00 beta=90.00 gamma=90.00
Fractional positions:
Sc (0.500, 0.500, 0.500)
Be (0.000, 0.000, 0.000)
S (0.000, 0.500, 0.000)
B (0.000, 0.000, 0.500)
B (0.500, 0.000, 0.000)

- formation energy from raw total energies (eV per atom) = 0.3659
- SG = P4/mmm (123)
- E_tot (eV per cell) = -25.71
- calculated volume (A^3/atom) = 13.291

[2]
Nd6MgTl3 | GGA-PBE | relaxed

Unit cell a=5.504 b=9.636 c=12.110 alpha=107.95 beta=90.00 gamma=90.00
Fractional positions:
Nd (0.250, 0.465, 0.091)
Nd (0.750, 0.535, 0.909)
Nd (0.250, 0.132, 0.155)
Nd (0.750, 0.868, 0.845)
Nd (0.250, 0.660, 0.682)
Nd (0.750, 0.340, 0.318)
Nd (0.250, 0.253, 0.497)
Nd (0.750, 0.747, 0.503)
Nd (0.250, 0.849, 0.303)
Nd (0.750, 0.151, 0.697)
Nd (0.250, 0.090, 0.881)
Nd (0.750, 0.910, 0.119)
Mg (0.250, 0.960, 0.591)
Mg (0.750, 0.040, 0.409)
Tl (0.250, 0.541, 0.385)
Tl (0.750, 0.459, 0.615)
Tl (0.250, 0.365, 0.781)
Tl (0.750, 0.635, 0.219)
Tl (0.250, 0.770, 0.974)
Tl (0.750, 0.230, 0.026)

- offset from the most stable computed form (eV per formula unit) = 0.00
- SG = P2_1/m (11)
- E_tot (eV per cell) = -79.22
- formation energy (eV per atom) = -0.231
- calculated volume (A^3/atom) = 30.552

[3]
GdZrTe2 | GGA-PBE | relaxed

Unit cell a=3.673 b=3.673 c=7.437 alpha=90.00 beta=90.00 gamma=90.00
Last column: magnetic moment on the atom in μB.
Fractional positions:
Gd (0.500, 0.500, 0.500)  7.26
Te (0.000, 0.000, 0.768)  -0.02
Te (0.000, 0.000, 0.232)  -0.02
Zr (0.500, 0.500, 0.000)  0.03

- formation energy from raw total energies (eV per atom) = -0.9800
- offset from the most stable computed form (eV per formula unit) = 0.00
- SG = P4/mmm (123)
- E_tot (eV per cell) = -32.83
- calculated volume (A^3/atom) = 25.083

[4]
ZrInBr | GGA-PBE | relaxed

Unit cell a=4.790 b=4.790 c=4.790 alpha=60.00 beta=60.00 gamma=60.00
Fractional positions:
Br (0.250, 0.250, 0.250)
Zr (0.500, 0.500, 0.500)
In (0.000, 0.000, 0.000)

- formation energy from raw total energies (eV per atom) = 0.3705
- offset from the most stable computed form (eV per formula unit) = 2.74
- SG = F-43m (216)
- E_tot (eV per cell) = -11.85
- calculated volume (A^3/atom) = 25.906